# 1
The following is a DFT calculation (PBE) of a relaxed structure of NaY2TaRu.

Computed properties:
* energy of formation from the pure elements: 1.656 eV/atom

Unit cell a=5.3452 b=5.3452 c=5.2275 alpha=90.00 beta=90.00 gamma=90.00
Closest atoms and distances in Å follow each position.
Space group P4/mmm (No. 123)
Symmetry-distinct sites (fractional):
Na 0.0000 0.0000 0.0000 x1  2 Ta 2.61
Y 0.0000 0.5000 0.5000 x2  2 Ta 2.67
Ta 0.0000 0.0000 0.5000 x1  2 Na 2.61, 4 Y 2.67
Ru 0.5000 0.5000 0.0000 x1  8 Y 3.74, 4 Na 3.78



# 2
The following is a DFT calculation (PBE) of a relaxed structure of Ca2In3Au9.

Computed properties:
* energy of formation from the pure elements: -0.415 eV/atom

Unit cell a=14.0004 b=8.3662 c=10.1768 alpha=90.00 beta=90.00 gamma=90.00
Closest atoms and distances in Å follow each position.
Space group Cmcm (No. 63)
Symmetry-distinct sites (fractional):
Ca 0.1598 0.1635 0.2500 x8  11 Au 3.20-3.47
In 0.0000 0.0000 0.0000 x4  8 Au 2.78-2.91
In 0.1823 0.5000 0.0000 x8  8 Au 2.77-3.01
Au 0.0000 0.1332 0.7500 x4  2 In 2.78, 6 Au 2.86-3.11
Au 0.0000 0.3299 0.0708 x8  3 In 2.85-3.01, 5 Au 2.92-3.19
Au 0.1044 0.4612 0.7500 x8  2 In 2.79, 6 Au 2.92-3.11
Au 0.1655 0.1806 0.5903 x16  3 In 2.77-2.91, 3 Au 2.86-3.10



# 3
The following is a DFT calculation (PBE) of a relaxed structure of Pm6Te2Se3.

Computed properties:
* formation energy from raw total energies: -1.48 eV per atom

Unit cell a=4.2025 b=4.2025 c=63.5691 alpha=90.00 beta=90.00 gamma=120.00
Closest atoms and distances in Å follow each position.
Space group R-3m (No. 166, hexagonal axes)
Symmetry-distinct sites (fractional):
Pm 0.0000 0.0000 0.0801 x6  3 Se 2.95, 3 Te 3.16
Pm 0.0000 0.0000 0.1889 x6  3 Te 3.18
Pm 0.0000 0.0000 0.3607 x6  6 Se 2.95-2.99
Te 0.0000 0.0000 0.4453 x6  6 Pm 3.16-3.18
Se 0.0000 0.0000 0.0000 x3  6 Pm 2.99
Se 0.0000 0.0000 0.2795 x6  6 Pm 2.95



# 4
The following is a DFT calculation (PBE) of a relaxed structure of MnTeH.

Unit cell a=3.3191 b=5.4747 c=4.6025 alpha=90.00 beta=111.12 gamma=90.00
Closest atoms and distances in Å follow each position.
Space group P2_1 (No. 4)
Symmetry-distinct sites (fractional):
Mn 0.0637 0.0000 0.1279 x2  2 H 1.67-1.70
Te 0.3518 0.1612 0.7036 x2  3 H 2.40-2.60, 5 Mn 2.59-2.62
H 0.0871 0.3088 0.1763 x2  2 Mn 1.67-1.70



# 5
The following is a DFT calculation (PBE) of a relaxed structure of Ta2AlC.

Computed properties:
* energy of formation from the pure elements: -0.513 eV/atom

Unit cell a=3.0997 b=3.0997 c=21.0254 alpha=90.00 beta=90.00 gamma=120.00
Closest atoms and distances in Å follow each position.
Space group R3m (No. 160, hexagonal axes)
Symmetry-distinct sites (fractional):
Ta 0.0000 0.0000 0.0000 x3  3 C 2.19
Ta 0.0000 0.0000 0.2144 x3  3 C 2.18
Al 0.0000 0.0000 0.7747 x3  6 Ta 2.86-2.89, 6 Al 3.10
C 0.0000 0.0000 0.6069 x3  6 Ta 2.18-2.19



# 6
The following is a DFT calculation (PBE) of a relaxed structure of CsMnTe2.

Computed properties:
* formation energy from raw total energies: -0.49 eV per atom

Unit cell a=4.4865 b=6.6858 c=10.7574 alpha=80.59 beta=78.02 gamma=89.94
Closest atoms and distances in Å follow each position.
Space group P-1 (No. 2)
Symmetry-distinct sites (fractional):
Cs 0.0871 0.3012 0.3261 x2  9 Te 4.01-4.19, 2 Cs 4.49
Mn 0.3052 0.1305 0.8890 x2  4 Te 2.52-2.71
Te 0.2480 0.7395 0.0047 x2  3 Mn 2.69-2.71
Te 0.4267 0.2080 0.6463 x2  1 Mn 2.52



# 7
The following is a DFT calculation (PBE) of a relaxed structure of TiCr3Tc.

Computed properties:
* energy of formation from the pure elements: 1.226 eV/atom
* distance to the lowest polymorph of the same formula: 0.000 eV/atom

Unit cell a=4.5270 b=4.5270 c=4.5270 alpha=90.00 beta=90.00 gamma=90.00
Closest atoms and distances in Å follow each position.
Space group Pm-3m (No. 221)
Symmetry-distinct sites (fractional):
Ti 0.0000 0.0000 0.0000 x1  12 Cr 3.20
Cr 0.0000 0.5000 0.5000 x3  2 Tc 2.26
Tc 0.5000 0.5000 0.5000 x1  6 Cr 2.26



# 8
The following is a DFT calculation (PBE) of a relaxed structure of Y2BRuAu.

Computed properties:
* energy of formation from the pure elements: -0.452 eV/atom

Unit cell a=5.1111 b=5.1111 c=3.9079 alpha=90.00 beta=90.00 gamma=90.00
Closest atoms and distances in Å follow each position.
Space group P4/mmm (No. 123)
Symmetry-distinct sites (fractional):
Y 0.0000 0.5000 0.0000 x2  2 B 2.56
B 0.0000 0.0000 0.0000 x1  2 Ru 1.95
Ru 0.0000 0.0000 0.5000 x1  2 B 1.95
Au 0.5000 0.5000 0.5000 x1  8 Y 3.22



# 9
The following is a DFT calculation (PBE) of a relaxed structure of Cs2TaNb2.

Computed properties:
* energy of formation from the pure elements: 1.764 eV/atom
* distance to the lowest polymorph of the same formula: 0.308 eV/atom

Unit cell a=4.2818 b=4.2818 c=16.7797 alpha=90.00 beta=90.00 gamma=90.00
Closest atoms and distances in Å follow each position.
Space group I4/mmm (No. 139)
Symmetry-distinct sites (fractional):
Cs 0.0000 0.5000 0.2500 x4  4 Cs 3.03
Ta 0.0000 0.0000 0.0000 x2  8 Nb 3.23
Nb 0.0000 0.0000 0.4328 x4  1 Nb 2.26



# 10
The following is a DFT calculation (PBE) of a relaxed structure of Ca2Be2SnPt5.

Computed properties:
* energy of formation from the pure elements: -0.844 eV/atom

Unit cell a=9.7515 b=9.7515 c=3.4916 alpha=90.00 beta=90.00 gamma=90.00
Closest atoms and distances in Å follow each position.
Space group P4/mbm (No. 127)
Symmetry-distinct sites (fractional):
Ca 0.1774 0.3226 0.0000 x4  3 Be 2.82-2.94, 10 Pt 3.01-3.13
Be 0.1179 0.6179 0.0000 x4  6 Pt 2.39-2.40
Sn 0.0000 0.0000 0.0000 x2  8 Pt 2.85
Pt 0.0000 0.5000 0.5000 x2  4 Be 2.39
Pt 0.0692 0.7793 0.5000 x8  2 Be 2.40



# 11
The following is a DFT calculation (PBE) of a relaxed structure of Dy2HoEr2Th.

Computed properties:
* energy of formation from the pure elements: 0.151 eV/atom

Unit cell a=6.4811 b=6.9631 c=8.7144 alpha=90.00 beta=103.39 gamma=90.00
Closest atoms and distances in Å follow each position.
Space group P2_1/m (No. 11)
Symmetry-distinct sites (fractional):
Dy 0.1163 0.2500 0.3470 x2  1 Dy 3.34, 3 Th 3.43-3.48, 1 Ho 3.46, 4 Er 3.54-3.62
Dy 0.2439 0.7500 0.9969 x2  4 Ho 3.15-3.49, 1 Th 3.28, 1 Dy 3.34
Ho 0.2664 0.2500 0.9913 x2  5 Dy 3.15-3.49, 1 Th 3.43, 2 Er 3.49
Er 0.4043 0.9998 0.6820 x4  3 Er 3.48-3.66, 2 Ho 3.49-3.59, 3 Th 3.51-3.85, 5 Dy 3.54-3.75
Th 0.1322 0.7500 0.3452 x2  4 Dy 3.28-3.48, 1 Ho 3.43, 4 Er 3.51-3.53



# 12
The following is a DFT calculation (PBE) of a relaxed structure of AlRu4Br.

Computed properties:
* formation energy from raw total energies: 0.87 eV per atom

Unit cell a=7.3574 b=7.3574 c=7.3574 alpha=90.00 beta=90.00 gamma=90.00
Closest atoms and distances in Å follow each position.
Space group F-43m (No. 216)
Symmetry-distinct sites (fractional):
Al 0.0000 0.0000 0.0000 x4  12 Ru 3.05, 4 Br 3.19
Ru 0.1248 0.1248 0.3752 x16  6 Ru 2.60-2.61
Br 0.2500 0.2500 0.7500 x4  12 Ru 3.05, 4 Al 3.19



Number 1: size of the total moment 2.59 μB per cell, energy -5.419 eV/atom. Number 2: size of the total moment 0.00 μB per cell, energy -3.395 eV/atom. Number 3: size of the total moment 3.16 μB per cell, energy -5.593 eV/atom. Number 4: size of the total moment 0.00 μB per cell, energy -5.131 eV/atom. Number 5: size of the total moment 0.00 μB per cell, energy -9.681 eV/atom. Number 6: size of the total moment 8.00 μB per cell, energy -4.568 eV/atom. Number 7: size of the total moment 5.55 μB per cell, energy -8.200 eV/atom. Number 8: size of the total moment 0.00 μB per cell, energy -6.883 eV/atom. Number 9: size of the total moment 0.00 μB per cell, energy -4.975 eV/atom. Number 10: size of the total moment 0.00 μB per cell, energy -5.410 eV/atom. Number 11: size of the total moment 0.00 μB per cell, energy -4.904 eV/atom. Number 12: size of the total moment 15.52 μB per cell, energy -6.218 eV/atom.